RbNb4BrO5: relaxed, GGA-PBE.

Summary:
- symmetry = P4/mmm (123)
- total DFT energy (no corrections) (eV/atom) = -8.1087

a b c (Å): 4.2356 4.2356 9.4462
angles (deg): 90.00 90.00 90.00
With the nearest neighbours (Å) after each atom.
Fractional coordinates of all 11 atoms:
O1 0.0000 0.5000 0.7781  3 Nb 2.10-2.12
O2 0.0000 0.5000 0.2219  3 Nb 2.10-2.12
O3 0.5000 0.0000 0.7781  3 Nb 2.10-2.12
O4 0.5000 0.5000 0.0000  4 Nb 2.12
O5 0.5000 0.0000 0.2219  3 Nb 2.10-2.12
Br1 0.0000 0.0000 0.5000  2 Nb 2.73, 4 Rb 2.99
Nb1 0.5000 0.0000 0.0000  4 O 2.10-2.12
Nb2 0.0000 0.0000 0.7893  4 O 2.12
Nb3 0.0000 0.0000 0.2107  4 O 2.12
Nb4 0.0000 0.5000 0.0000  4 O 2.10-2.12
Rb1 0.5000 0.5000 0.5000  4 Br 2.99



SmNbBr2O2: relaxed, GGA-PBE.

Summary:
- symmetry = P4mm (99)
- total DFT energy (no corrections) (eV/atom) = -6.6803

a b c (Å): 3.8013 3.8013 8.2809
angles (deg): 90.00 90.00 90.00
With the nearest neighbours (Å) after each atom.
Fractional coordinates of all 6 atoms:
Br1 0.5000 0.5000 0.6754  4 Nb 3.12, 4 O 3.22
Br2 0.0000 0.0000 0.3359  4 Sm 3.13, 4 O 3.44
O1 0.0000 0.5000 0.9898  2 Nb 2.16, 2 Sm 2.28
O2 0.5000 0.0000 0.9898  2 Nb 2.16, 2 Sm 2.28
Sm1 0.5000 0.5000 0.1423  4 O 2.28
Nb1 0.0000 0.0000 0.8667  4 O 2.16



NbTe7Br5O: relaxed, GGA-PBE.

Summary:
- symmetry = Pcca (54)
- total DFT energy (no corrections) (eV/atom) = -3.7759

a b c (Å): 26.8914 8.5930 8.1658
angles (deg): 90.00 90.00 90.00
With the nearest neighbours (Å) after each atom.
Fractional coordinates of all 56 atoms:
Br1 0.2717 0.7911 0.2481  1 Nb 2.58
Br2 0.7283 0.7911 0.2519  1 Nb 2.58
Br3 0.2717 0.2089 0.7481  1 Nb 2.58
Br4 0.0000 0.5040 0.2500  4 Te 3.37-3.43
Br5 0.5000 0.4960 0.2500  4 Te 3.37-3.43
Br6 0.1577 0.5677 0.2449  1 Nb 2.57
Br7 0.3423 0.4323 0.2449  1 Nb 2.57
Br8 0.7283 0.2089 0.7519  1 Nb 2.58
Br9 0.6577 0.5677 0.7551  1 Nb 2.57
Br10 0.2283 0.2089 0.2481  1 Nb 2.58
Br11 0.8423 0.5677 0.2551  1 Nb 2.57
Br12 0.7717 0.2089 0.2519  1 Nb 2.58
Br13 0.8423 0.4323 0.7551  1 Nb 2.57
Br14 0.0000 0.4960 0.7500  4 Te 3.37-3.43
Br15 0.6577 0.4323 0.2551  1 Nb 2.57
Br16 0.2283 0.7911 0.7481  1 Nb 2.58
Br17 0.5000 0.5040 0.7500  4 Te 3.37-3.43
Br18 0.7717 0.7911 0.7519  1 Nb 2.58
Br19 0.3423 0.5677 0.7449  1 Nb 2.57
Br20 0.1577 0.4323 0.7449  1 Nb 2.57
Te1 0.5787 0.7670 0.0829  3 Te 2.79-2.99
Te2 0.0787 0.7670 0.9171  3 Te 2.79-2.99
Te3 0.9248 0.7524 0.9392  3 Te 2.80-2.98
Te4 0.3569 0.9848 0.9720  2 Te 2.79-2.80
Te5 0.3569 0.0152 0.4720  2 Te 2.79-2.80
Te6 0.0752 0.2476 0.0608  3 Te 2.80-2.98
Te7 0.9248 0.2476 0.4392  3 Te 2.80-2.98
Te8 0.0787 0.2330 0.4171  3 Te 2.79-2.99
Te9 0.9213 0.2330 0.0829  3 Te 2.79-2.99
Te10 0.6431 0.0152 0.0280  2 Te 2.79-2.80
Te11 0.5000 0.0000 0.0000  4 Te 2.98-2.99
Te12 0.0000 0.0000 0.0000  4 Te 2.98-2.99
Te13 0.5752 0.7524 0.4392  3 Te 2.80-2.98
Te14 0.0752 0.7524 0.5608  3 Te 2.80-2.98
Te15 0.4248 0.7524 0.0608  3 Te 2.80-2.98
Te16 0.0000 0.0000 0.5000  4 Te 2.98-2.99
Te17 0.4248 0.2476 0.5608  3 Te 2.80-2.98
Te18 0.1431 0.9848 0.4720  2 Te 2.79-2.80
Te19 0.8569 0.9848 0.0280  2 Te 2.79-2.80
Te20 0.5787 0.2330 0.5829  3 Te 2.79-2.99
Te21 0.9213 0.7670 0.5829  3 Te 2.79-2.99
Te22 0.1431 0.0152 0.9720  2 Te 2.79-2.80
Te23 0.5752 0.2476 0.9392  3 Te 2.80-2.98
Te24 0.4213 0.7670 0.4171  3 Te 2.79-2.99
Te25 0.5000 0.0000 0.5000  4 Te 2.98-2.99
Te26 0.6431 0.9848 0.5280  2 Te 2.79-2.80
Te27 0.8569 0.0152 0.5280  2 Te 2.79-2.80
Te28 0.4213 0.2330 0.9171  3 Te 2.79-2.99
Nb1 0.7500 0.5000 0.2160  1 O 1.78
Nb2 0.2500 0.5000 0.2840  1 O 1.78
Nb3 0.2500 0.5000 0.7840  1 O 1.78
Nb4 0.7500 0.5000 0.7160  1 O 1.78
O1 0.2500 0.5000 0.0024  1 Nb 1.78
O2 0.2500 0.5000 0.5024  1 Nb 1.78
O3 0.7500 0.5000 0.4976  1 Nb 1.78
O4 0.7500 0.5000 0.9976  1 Nb 1.78